{"formula": "SiPb2Se", "functional": "meta-GGA SCAN", "state": "single point on PBEsol structure", "raw_formation_energy_kj_per_mol_atoms": 26.0, "dos_at_fermi_per_ev_cell": 1.73, "dft_energy_ev_per_cell": -180.58, "m_tot_mub_per_fu": 0.00, "de_polymorph_mev_per_atom": 176, "lattice_angstrom": [[-1.7399, 2.6064, -1.7182], [2.0106, -1.6183, -4.4909], [-4.0584, -3.1488, -0.6669]], "species": ["Si", "Se", "Pb", "Pb"], "fractional_positions": [[0.5000, 0.5000, 0.5000], [0.5000, 0.0000, 0.0000], [0.0000, 0.0000, 0.5000], [0.0000, 0.5000, 0.0000]]}

=====

{"formula": "SrLiMg4", "functional": "meta-GGA SCAN", "state": "single point on PBEsol structure", "dos_at_fermi_per_ev_cell": 2.28, "dft_energy_ev_per_cell": -44.77, "m_tot_mub_per_fu": 0.55, "ef_ev_per_atom": -0.03, "lattice_angstrom": [[-6.0036, -1.1497, -0.3078], [-2.3971, -2.4115, -5.0891], [-2.0133, -5.7798, 0.0067]], "species": ["Mg", "Mg", "Mg", "Mg", "Li", "Sr"], "fractional_positions": [[0.3743, 0.8772, 0.3743], [0.8772, 0.3743, 0.3743], [0.3743, 0.3743, 0.8772], [0.3743, 0.3743, 0.3743], [0.0000, 0.0000, 0.0000], [0.7500, 0.7500, 0.7500]]}

=====

{"formula": "InPbSN2", "functional": "meta-GGA SCAN", "state": "single point on PBEsol structure", "raw_formation_energy_kj_per_mol_atoms": 90.3, "dos_at_fermi_per_ev_cell": 1.70, "dft_energy_ev_per_cell": -132.70, "m_tot_mub_per_fu": 3.00, "lattice_angstrom": [[-0.2668, 4.0242, 1.4147], [-1.1272, -1.4336, 3.8653], [5.0221, -0.1609, 1.4049]], "species": ["S", "In", "N", "N", "Pb"], "fractional_positions": [[0.0000, 0.0000, 0.5000], [0.0000, 0.0000, 0.0000], [0.0000, 0.5000, 0.0000], [0.5000, 0.0000, 0.0000], [0.5000, 0.5000, 0.5000]]}

=====

{"formula": "IrRuPt2", "functional": "meta-GGA SCAN", "state": "single point on PBEsol structure", "dos_at_fermi_per_ev_cell": 3.60, "dft_energy_ev_per_cell": -246.35, "m_tot_mub_per_fu": 0.00, "ef_ev_per_atom": -0.01, "de_polymorph_mev_per_atom": 39, "lattice_angstrom": [[2.7210, 0.0000, 0.0000], [0.0000, 3.8406, 0.0000], [0.0000, 0.0000, 5.4711]], "species": ["Pt", "Pt", "Ir", "Ru"], "fractional_positions": [[0.0000, 0.0000, 0.9967], [0.5000, 0.5000, 0.2558], [0.5000, 0.5000, 0.7382], [0.0000, 0.0000, 0.5093]]}

=====

{"formula": "ZnCo2Re", "functional": "meta-GGA SCAN", "state": "single point on PBEsol structure", "dos_at_fermi_per_ev_cell": 2.25, "dft_energy_ev_per_cell": -118.93, "m_tot_mub_per_fu": 0.00, "ef_ev_per_atom": 0.07, "lattice_angstrom": [[2.6461, 0.0000, 0.0000], [0.0000, 2.6461, 0.0000], [0.0000, 0.0000, 6.7231]], "species": ["Co", "Co", "Re", "Zn"], "fractional_positions": [[0.0000, 0.0000, 0.2524], [0.0000, 0.0000, 0.7476], [0.5000, 0.5000, 0.0000], [0.5000, 0.5000, 0.5000]]}

=====

{"formula": "Mn2AlHgPb", "functional": "meta-GGA SCAN", "state": "single point on PBEsol structure", "dos_at_fermi_per_ev_cell": 1.75, "dft_energy_ev_per_cell": -186.21, "m_tot_mub_per_fu": 7.66, "ef_ev_per_atom": 0.40, "lattice_angstrom": [[4.7307, 0.0000, 0.0000], [0.0000, 4.7307, 0.0000], [0.0000, 0.0000, 4.9107]], "species": ["Pb", "Al", "Mn", "Mn", "Hg"], "fractional_positions": [[0.5000, 0.5000, 0.5000], [0.0000, 0.0000, 0.0000], [0.0000, 0.5000, 0.0000], [0.5000, 0.0000, 0.0000], [0.0000, 0.0000, 0.5000]]}

=====

{"formula": "OsSeS3Cl4", "functional": "meta-GGA SCAN", "state": "single point on PBEsol structure", "raw_formation_energy_kj_per_mol_atoms": -34.6, "dft_energy_ev_per_cell": -623.92, "m_tot_mub_per_fu": 0.00, "lattice_angstrom": [[8.8098, 0.0000, 0.0000], [0.0000, 9.1484, -0.0707], [0.0000, -3.1767, 11.2139]], "species": ["Cl", "Cl", "Cl", "Cl", "Cl", "Cl", "Cl", "Cl", "Cl", "Cl", "Cl", "Cl", "Cl", "Cl", "Cl", "Cl", "S", "S", "S", "S", "S", "S", "S", "S", "S", "S", "S", "S", "Os", "Os", "Os", "Os", "Se", "Se", "Se", "Se"], "fractional_positions": [[0.7003, 0.1877, 0.5382], [0.1620, 0.5699, 0.9729], [0.1960, 0.1784, 0.9490], [0.8042, 0.5524, 0.4496], [0.2003, 0.8123, 0.4618], [0.6960, 0.8216, 0.0510], [0.5059, 0.9066, 0.2906], [0.0078, 0.4688, 0.2165], [0.9516, 0.4880, 0.7241], [0.3042, 0.4476, 0.5504], [0.0059, 0.0934, 0.7094], [0.5078, 0.5312, 0.7835], [0.6620, 0.4301, 0.0271], [0.9876, 0.8713, 0.8842], [0.4516, 0.5120, 0.2759], [0.4876, 0.1287, 0.1158], [0.3677, 0.0524, 0.6836], [0.6997, 0.8353, 0.7073], [0.5352, 0.1626, 0.7939], [0.8677, 0.9476, 0.3164], [0.8644, 0.1426, 0.1159], [0.3644, 0.8574, 0.8841], [0.1350, 0.7631, 0.6184], [0.0352, 0.8374, 0.2061], [0.5070, 0.7806, 0.6106], [0.6350, 0.2369, 0.3816], [0.1997, 0.1647, 0.2927], [0.0070, 0.2194, 0.3894], [0.6953, 0.0445, 0.2183], [0.8314, 0.3174, 0.2905], [0.3314, 0.6826, 0.7095], [0.1953, 0.9556, 0.7817], [0.6889, 0.5163, 0.2222], [0.1170, 0.0109, 0.1164], [0.6170, 0.9891, 0.8836], [0.1889, 0.4837, 0.7778]]}

=====

{"formula": "InSiHg", "functional": "meta-GGA SCAN", "state": "single point on PBEsol structure", "raw_formation_energy_kj_per_mol_atoms": 32.7, "dos_at_fermi_per_ev_cell": 1.47, "dft_energy_ev_per_cell": -110.55, "m_tot_mub_per_fu": 0.00, "lattice_angstrom": [[4.6095, 0.0000, 0.0000], [2.3048, 3.9920, 0.0000], [2.3048, 1.3307, 3.7637]], "species": ["Hg", "In", "Si"], "fractional_positions": [[0.0000, 0.0000, 0.0000], [0.5000, 0.5000, 0.5000], [0.7500, 0.7500, 0.7500]]}